{"formula": "CaTaGa", "functional": "GGA-PBE", "state": "relaxed", "crystal_system": "tetragonal", "mass_density_g_cm3": 7.0, "space_group": "P4/nmm, No. 129", "final_energy_ev_per_cell": -34.543, "lattice_angstrom": [[4.102, 0.000, 0.000], [0.000, 4.102, 0.000], [0.000, 0.000, 8.233]], "species": ["Ga", "Ga", "Ta", "Ta", "Ca", "Ca"], "frac_coords": [[0.500, 0.000, 0.728], [0.000, 0.500, 0.272], [0.000, 0.000, 0.500], [0.500, 0.500, 0.500], [0.500, 0.000, 0.157], [0.000, 0.500, 0.843]]}